# 1
DFT (PBE) results for an optimized crystal structure of NaSiPt.

a = 3.882 Å, b = 4.907 Å, c = 11.686 Å
α = 90.00°, β = 90.00°, γ = 90.00°
Space group Immm (No. 71)
Unique sites:
Na: 0.000 0.244 0.000 [4 per cell]
Si: 0.000 0.500 0.286 [4 per cell]
Pt: 0.000 0.000 0.335 [4 per cell]

Output
As for the uncorrected formation energy: -298 meV/atom.

***

# 2
DFT (PBE) results for an optimized crystal structure of NaSiPt3.

a = 4.583 Å, b = 4.583 Å, c = 4.583 Å
α = 90.00°, β = 90.00°, γ = 90.00°
Space group Pm-3m (No. 221)
Unique sites:
Na: 0.000 0.000 0.000 [1 per cell]
Si: 0.500 0.500 0.500 [1 per cell]
Pt: 0.000 0.500 0.500 [3 per cell]

Output
As for the uncorrected formation energy: -121 meV/atom.

***

# 3
DFT (PBE) results for an optimized crystal structure of NaSi2Pt.

a = 6.290 Å, b = 6.290 Å, c = 6.290 Å
α = 90.00°, β = 90.00°, γ = 90.00°
Space group Fm-3m (No. 225)
Unique sites:
Na: 0.000 0.000 0.000 [4 per cell]
Si: 0.250 0.250 0.250 [8 per cell]
Pt: 0.000 0.000 0.500 [4 per cell]

Output
As for the uncorrected formation energy: -11 meV/atom.

***

# 4
DFT (PBE) results for an optimized crystal structure of NaSiPt2.

a = 3.847 Å, b = 10.212 Å, c = 6.889 Å
α = 90.00°, β = 90.00°, γ = 90.00°
Space group Cmcm (No. 63)
Unique sites:
Na: 0.000 0.056 0.250 [4 per cell]
Si: 0.000 0.218 0.750 [4 per cell]
Pt: 0.000 0.351 0.048 [8 per cell]

Output
As for the uncorrected formation energy: -506 meV/atom.

***

# 5
DFT (PBE) results for an optimized crystal structure of NaSi2Pt.

a = 4.830 Å, b = 4.830 Å, c = 16.096 Å
α = 90.00°, β = 90.00°, γ = 90.00°
Space group I4_1/amd (No. 141, origin choice 2)
Unique sites:
Na: 0.000 0.250 0.375 [4 per cell]
Si: 0.000 0.000 0.000 [8 per cell]
Pt: 0.000 0.250 0.875 [4 per cell]

Output
As for the uncorrected formation energy: -114 meV/atom.

***

# 6
DFT (PBE) results for an optimized crystal structure of Na2Si2Pt3.

a = 10.591 Å, b = 3.688 Å, c = 7.308 Å
α = 90.00°, β = 119.54°, γ = 90.00°
Space group C2/m (No. 12)
Unique sites:
Na: 0.147 0.000 0.292 [4 per cell]
Si: 0.139 0.000 0.749 [4 per cell]
Pt: 0.000 0.500 0.500 [2 per cell]
Pt: 0.121 0.500 0.950 [4 per cell]

Output
As for the uncorrected formation energy: -533 meV/atom.